First-principles (PBE) data for a geometry-optimized Ca3NdSe4 structure, as listed in the Alexandria database.

Summary:
The value obtained for the calculated volume is 212 Å³/cell. Its spin magnetization is 0.0 Bohr magnetons per cell. The value obtained for the mass density is 4.55 g cm⁻³. The calculation puts the formation energy from raw total energies at -1.956 eV/atom.

Structure (POSCAR):
```
Ca3NdSe4
1.0
4.2237 -5.9626 0.0000
4.2237 5.9626 0.0000
0.0000 0.0000 4.2015
Ca Nd Se
3 1 4
Cartesian
0.0000 0.0000 0.0000
2.1118 2.9813 2.1008
2.1118 -2.9813 2.1008
4.2237 0.0000 0.0000
2.0846 0.0000 2.1008
4.2237 2.9922 0.0000
4.2237 -2.9922 0.0000
6.3628 0.0000 2.1008
```

***

First-principles (PBE) data for a geometry-optimized MnS structure, as listed in the Alexandria database.

Summary:
The value obtained for the calculated volume is 90 Å³/cell. Its spin magnetization is 10.0 Bohr magnetons per cell. The value obtained for the mass density is 3.21 g cm⁻³. The calculation puts the formation energy from raw total energies at -0.489 eV/atom.

Structure (POSCAR):
```
MnS
1.0
4.0129 0.0000 0.0000
-2.0064 3.4752 0.0000
0.0000 0.0000 6.4581
Mn S
2 2
Cartesian
0.0000 2.3168 0.0000
2.0064 1.1584 3.2291
0.0000 2.3168 4.0075
2.0064 1.1584 0.7784
```

***

First-principles (PBE) data for a geometry-optimized Li2SiPd8 structure, as listed in the Alexandria database.

Summary:
The value obtained for the calculated volume is 160 Å³/cell. Its spin magnetization is 0.0 Bohr magnetons per cell. The value obtained for the mass density is 9.25 g cm⁻³. The calculation puts the formation energy from raw total energies at -0.344 eV/atom.

Structure (POSCAR):
```
Li2SiPd8
1.0
6.8979 -2.1511 0.0000
6.8979 2.1511 0.0000
-1.7462 0.0000 5.4022
Li Si Pd
2 1 8
Cartesian
2.3752 0.0000 0.9784
9.6745 0.0000 4.4238
6.0248 0.0000 2.7011
-0.1398 0.0000 1.4409
1.2011 0.0000 4.0178
3.7122 0.0000 3.0280
5.3783 0.0000 0.3487
6.6714 0.0000 5.0535
8.3375 0.0000 2.3742
10.8485 0.0000 1.3844
12.1895 0.0000 3.9613
```

***

First-principles (PBE) data for a geometry-optimized Pm2EuSb structure, as listed in the Alexandria database.

Summary:
The value obtained for the calculated volume is 127 Å³/cell. Its spin magnetization is 7.9 Bohr magnetons per cell. The value obtained for the mass density is 7.39 g cm⁻³. The calculation puts the formation energy from raw total energies at -0.469 eV/atom.

Structure (POSCAR):
```
Pm2EuSb
1.0
4.1810 0.0000 0.0000
0.0000 4.1810 0.0000
0.0000 0.0000 7.2502
Pm Eu Sb
2 1 1
Cartesian
0.0000 0.0000 1.6013
0.0000 0.0000 5.6489
2.0905 2.0905 3.6251
2.0905 2.0905 0.0000
```

***

Number 1: N(E_F) 2.6 states/eV per cell. Number 2: N(E_F) 0.5 states/eV per cell. Number 3: N(E_F) 6.8 states/eV per cell. Number 4: N(E_F) 5.0 states/eV per cell.